--- a ---
A plane-wave DFT calculation with GGA-PBE was carried out for an optimized crystal structure of PmErAg.

Output
volume	330.00	Å³/cell
M_tot	0.000	μB per atom

Lattice parameters (Å, degrees): 5.0635 12.6120 5.1676 90.00 90.00 90.00
Closest atoms and distances in Å follow each position.
Sites, in units of the cell vectors:
1 Pm 0.0000 0.0932 0.2500  4 Ag 3.20-3.27, 2 Pm 3.49
2 Pm 0.0000 0.9068 0.7500  4 Ag 3.20-3.27, 2 Pm 3.49
3 Pm 0.5000 0.4068 0.7500  4 Ag 3.20-3.27, 2 Pm 3.49
4 Pm 0.5000 0.5932 0.2500  4 Ag 3.20-3.27, 2 Pm 3.49
5 Er 0.0000 0.3923 0.2500  4 Ag 3.05-3.20
6 Er 0.0000 0.6077 0.7500  4 Ag 3.05-3.20
7 Er 0.5000 0.1077 0.7500  4 Ag 3.05-3.20
8 Er 0.5000 0.8923 0.2500  4 Ag 3.05-3.20
9 Ag 0.0000 0.2422 0.7500  4 Er 3.05-3.20, 4 Pm 3.20-3.27
10 Ag 0.0000 0.7578 0.2500  4 Er 3.05-3.20, 4 Pm 3.20-3.27
11 Ag 0.5000 0.2578 0.2500  4 Er 3.05-3.20, 4 Pm 3.20-3.27
12 Ag 0.5000 0.7422 0.7500  4 Er 3.05-3.20, 4 Pm 3.20-3.27

---

--- b ---
A plane-wave DFT calculation with GGA-PBE was carried out for an optimized crystal structure of PmErAg.

Output
volume	368.43	Å³/cell
M_tot	0.000	μB per atom

Lattice parameters (Å, degrees): 7.1689 7.1689 7.1689 90.00 90.00 90.00
Closest atoms and distances in Å follow each position.
Sites, in units of the cell vectors:
1 Pm 0.0000 0.0000 0.0000  4 Ag 3.10
2 Pm 0.0000 0.5000 0.5000  4 Ag 3.10
3 Pm 0.5000 0.0000 0.5000  4 Ag 3.10
4 Pm 0.5000 0.5000 0.0000  4 Ag 3.10
5 Er 0.0000 0.0000 0.5000  4 Ag 3.10
6 Er 0.0000 0.5000 0.0000  4 Ag 3.10
7 Er 0.5000 0.0000 0.0000  4 Ag 3.10
8 Er 0.5000 0.5000 0.5000  4 Ag 3.10
9 Ag 0.2500 0.2500 0.7500  4 Er 3.10, 4 Pm 3.10
10 Ag 0.2500 0.7500 0.2500  4 Er 3.10, 4 Pm 3.10
11 Ag 0.7500 0.2500 0.2500  4 Er 3.10, 4 Pm 3.10
12 Ag 0.7500 0.7500 0.7500  4 Er 3.10, 4 Pm 3.10

---

Relative energy table, unit kJ/mol of atoms: a 0.0; b 21.8

---

--- a ---
A plane-wave DFT calculation with GGA-PBE was carried out for an optimized crystal structure of Pm4ErAg.

Output
volume	378.43	Å³/cell
M_tot	0.000	μB per atom

Lattice parameters (Å, degrees): 10.9235 10.9235 6.5105 90.00 90.00 150.85
Closest atoms and distances in Å follow each position.
Sites, in units of the cell vectors:
1 Pm 0.0335 0.9665 0.5000  2 Ag 3.04-3.05, 1 Pm 3.23
2 Pm 0.1755 0.8245 0.6845  1 Ag 3.05, 4 Pm 3.21-3.40
3 Pm 0.2472 0.7528 0.2165  1 Ag 3.06, 3 Pm 3.21-3.40
4 Pm 0.4355 0.5645 0.3310  2 Ag 3.38, 6 Pm 3.55-3.74, 2 Er 3.56
5 Pm 0.5645 0.4355 0.8310  2 Ag 3.38, 6 Pm 3.55-3.74, 2 Er 3.56
6 Pm 0.7528 0.2472 0.7165  1 Ag 3.06, 3 Pm 3.21-3.40
7 Pm 0.8245 0.1755 0.1845  1 Ag 3.05, 4 Pm 3.21-3.40
8 Pm 0.9665 0.0335 0.0000  2 Ag 3.04-3.05, 1 Pm 3.23
9 Er 0.3671 0.6329 0.8315  2 Ag 3.19, 3 Pm 3.56-3.57
10 Er 0.6329 0.3671 0.3315  2 Ag 3.19, 3 Pm 3.56-3.57
11 Ag 0.1073 0.8927 0.0978  6 Pm 3.04-3.38, 2 Er 3.19
12 Ag 0.8927 0.1073 0.5978  6 Pm 3.04-3.38, 2 Er 3.19

---

--- b ---
A plane-wave DFT calculation with GGA-PBE was carried out for an optimized crystal structure of Pm4ErAg.

Output
volume	186.60	Å³/cell
M_tot	0.000	μB per atom

Lattice parameters (Å, degrees): 3.6399 3.6399 14.0838 90.00 90.00 90.00
Closest atoms and distances in Å follow each position.
Sites, in units of the cell vectors:
1 Pm 0.0000 0.0000 0.1395  4 Ag 3.24
2 Pm 0.0000 0.0000 0.8605  4 Ag 3.24
3 Pm 0.5000 0.5000 0.3242  4 Er 3.57, 8 Pm 3.64-3.66
4 Pm 0.5000 0.5000 0.6758  4 Er 3.57, 8 Pm 3.64-3.66
5 Er 0.0000 0.0000 0.5000  8 Pm 3.57, 4 Er 3.64
6 Ag 0.5000 0.5000 0.0000  8 Pm 3.24

---

Relative energy table, unit kJ/mol of atoms: a 10.4; b 0.0

---

--- a ---
A plane-wave DFT calculation with GGA-PBE was carried out for an optimized crystal structure of PmErAgRh.

Output
volume	90.59	Å³/cell
M_tot	0.000	μB per atom

Lattice parameters (Å, degrees): 3.5301 3.5301 7.2699 90.00 90.00 90.00
Closest atoms and distances in Å follow each position.
Sites, in units of the cell vectors:
1 Pm 0.0000 0.0000 0.0000  4 Rh 3.06, 4 Ag 3.26, 1 Er 3.33
2 Er 0.0000 0.0000 0.5422  4 Rh 2.95, 4 Ag 3.10
3 Ag 0.5000 0.5000 0.2893  4 Er 3.10, 4 Pm 3.26, 1 Rh 3.41
4 Rh 0.5000 0.5000 0.7577  4 Er 2.95, 4 Pm 3.06

---

--- b ---
A plane-wave DFT calculation with GGA-PBE was carried out for an optimized crystal structure of PmErAgRh.

Output
volume	360.29	Å³/cell
M_tot	0.000	μB per atom

Lattice parameters (Å, degrees): 7.1157 7.1157 7.1157 90.00 90.00 90.00
Closest atoms and distances in Å follow each position.
Sites, in units of the cell vectors:
1 Pm 0.0000 0.0000 0.0000  4 Ag 3.08, 4 Rh 3.08
2 Pm 0.0000 0.5000 0.5000  4 Rh 3.08, 4 Ag 3.08
3 Pm 0.5000 0.0000 0.5000  4 Rh 3.08, 4 Ag 3.08
4 Pm 0.5000 0.5000 0.0000  4 Rh 3.08, 4 Ag 3.08
5 Er 0.0000 0.0000 0.5000  4 Rh 3.08, 4 Ag 3.08
6 Er 0.0000 0.5000 0.0000  4 Rh 3.08, 4 Ag 3.08
7 Er 0.5000 0.0000 0.0000  4 Rh 3.08, 4 Ag 3.08
8 Er 0.5000 0.5000 0.5000  4 Rh 3.08, 4 Ag 3.08
9 Ag 0.2500 0.2500 0.7500  4 Er 3.08, 4 Pm 3.08
10 Ag 0.2500 0.7500 0.2500  4 Er 3.08, 4 Pm 3.08
11 Ag 0.7500 0.2500 0.2500  4 Er 3.08, 4 Pm 3.08
12 Ag 0.7500 0.7500 0.7500  4 Pm 3.08, 4 Er 3.08
13 Rh 0.2500 0.2500 0.2500  4 Er 3.08, 4 Pm 3.08
14 Rh 0.2500 0.7500 0.7500  4 Er 3.08, 4 Pm 3.08
15 Rh 0.7500 0.2500 0.7500  4 Er 3.08, 4 Pm 3.08
16 Rh 0.7500 0.7500 0.2500  4 Er 3.08, 4 Pm 3.08

---

Relative energy table, unit kJ/mol of atoms: a 0.0; b 2.8

---

--- a ---
A plane-wave DFT calculation with GGA-PBE was carried out for an optimized crystal structure of PmSmErAg.

Output
volume	454.98	Å³/cell
M_tot	0.003	μB per atom

Lattice parameters (Å, degrees): 7.6912 7.6912 7.6912 90.00 90.00 90.00
Closest atoms and distances in Å follow each position.
Sites, in units of the cell vectors:
1 Pm 0.0000 0.0000 0.0000  4 Er 3.33, 4 Sm 3.33
2 Pm 0.0000 0.5000 0.5000  4 Er 3.33, 4 Sm 3.33
3 Pm 0.5000 0.0000 0.5000  4 Er 3.33, 4 Sm 3.33
4 Pm 0.5000 0.5000 0.0000  4 Er 3.33, 4 Sm 3.33
5 Sm 0.2500 0.2500 0.7500  4 Pm 3.33, 4 Ag 3.33
6 Sm 0.2500 0.7500 0.2500  4 Pm 3.33, 4 Ag 3.33
7 Sm 0.7500 0.2500 0.2500  4 Pm 3.33, 4 Ag 3.33
8 Sm 0.7500 0.7500 0.7500  4 Pm 3.33, 4 Ag 3.33
9 Er 0.2500 0.2500 0.2500  4 Pm 3.33, 4 Ag 3.33
10 Er 0.2500 0.7500 0.7500  4 Pm 3.33, 4 Ag 3.33
11 Er 0.7500 0.2500 0.7500  4 Pm 3.33, 4 Ag 3.33
12 Er 0.7500 0.7500 0.2500  4 Pm 3.33, 4 Ag 3.33
13 Ag 0.0000 0.0000 0.5000  4 Sm 3.33, 4 Er 3.33
14 Ag 0.0000 0.5000 0.0000  4 Sm 3.33, 4 Er 3.33
15 Ag 0.5000 0.0000 0.0000  4 Sm 3.33, 4 Er 3.33
16 Ag 0.5000 0.5000 0.5000  4 Sm 3.33, 4 Er 3.33

---

--- b ---
A plane-wave DFT calculation with GGA-PBE was carried out for an optimized crystal structure of PmSmErAg.

Output
volume	116.00	Å³/cell
M_tot	0.000	μB per atom

Lattice parameters (Å, degrees): 3.6457 3.6457 8.7280 90.00 90.00 90.00
Closest atoms and distances in Å follow each position.
Sites, in units of the cell vectors:
1 Pm 0.0000 0.0000 0.0000  4 Er 3.59, 4 Sm 3.64, 4 Pm 3.65
2 Sm 0.5000 0.5000 0.7061  4 Ag 3.24
3 Er 0.5000 0.5000 0.2867  4 Ag 3.09
4 Ag 0.0000 0.0000 0.4816  4 Er 3.09, 4 Sm 3.24

---

Relative energy table, unit kJ/mol of atoms: a 22.2; b 0.0

---

--- a ---
A plane-wave DFT calculation with GGA-PBE was carried out for an optimized crystal structure of TbPmErAg.

Output
volume	446.57	Å³/cell
M_tot	0.001	μB per atom

Lattice parameters (Å, degrees): 7.6436 7.6436 7.6436 90.00 90.00 90.00
Closest atoms and distances in Å follow each position.
Sites, in units of the cell vectors:
1 Tb 0.0000 0.0000 0.0000  4 Pm 3.31, 4 Ag 3.31
2 Tb 0.0000 0.5000 0.5000  4 Pm 3.31, 4 Ag 3.31
3 Tb 0.5000 0.0000 0.5000  4 Pm 3.31, 4 Ag 3.31
4 Tb 0.5000 0.5000 0.0000  4 Pm 3.31, 4 Ag 3.31
5 Pm 0.2500 0.2500 0.2500  4 Tb 3.31, 4 Er 3.31
6 Pm 0.2500 0.7500 0.7500  4 Tb 3.31, 4 Er 3.31
7 Pm 0.7500 0.2500 0.7500  4 Tb 3.31, 4 Er 3.31
8 Pm 0.7500 0.7500 0.2500  4 Tb 3.31, 4 Er 3.31
9 Er 0.0000 0.0000 0.5000  4 Ag 3.31, 4 Pm 3.31
10 Er 0.0000 0.5000 0.0000  4 Ag 3.31, 4 Pm 3.31
11 Er 0.5000 0.0000 0.0000  4 Ag 3.31, 4 Pm 3.31
12 Er 0.5000 0.5000 0.5000  4 Pm 3.31, 4 Ag 3.31
13 Ag 0.2500 0.2500 0.7500  4 Tb 3.31, 4 Er 3.31
14 Ag 0.2500 0.7500 0.2500  4 Tb 3.31, 4 Er 3.31
15 Ag 0.7500 0.2500 0.2500  4 Tb 3.31, 4 Er 3.31
16 Ag 0.7500 0.7500 0.7500  4 Tb 3.31, 4 Er 3.31

---

--- b ---
A plane-wave DFT calculation with GGA-PBE was carried out for an optimized crystal structure of TbPmErAg.

Output
volume	113.95	Å³/cell
M_tot	0.000	μB per atom

Lattice parameters (Å, degrees): 3.6216 3.6216 8.6877 90.00 90.00 90.00
Closest atoms and distances in Å follow each position.
Sites, in units of the cell vectors:
1 Tb 0.0000 0.0000 0.0000  4 Ag 3.17
2 Pm 0.5000 0.5000 0.2927  4 Er 3.59, 4 Tb 3.61, 4 Pm 3.62
3 Er 0.0000 0.0000 0.5825  4 Ag 3.10
4 Ag 0.5000 0.5000 0.7844  4 Er 3.10, 4 Tb 3.17

---

Relative energy table, unit kJ/mol of atoms: a 22.5; b 0.0

---

--- a ---
A plane-wave DFT calculation with GGA-PBE was carried out for an optimized crystal structure of PmErTlAg.

Output
volume	105.30	Å³/cell
M_tot	0.040	μB per atom

Lattice parameters (Å, degrees): 3.6709 3.6709 7.8141 90.00 90.00 90.00
Closest atoms and distances in Å follow each position.
Sites, in units of the cell vectors:
1 Pm 0.0000 0.0000 0.0000  4 Ag 3.30, 4 Tl 3.36, 1 Er 3.67, 4 Pm 3.67
2 Er 0.0000 0.0000 0.5304  4 Ag 3.07, 4 Tl 3.28
3 Tl 0.5000 0.5000 0.2731  4 Er 3.28, 4 Pm 3.36, 1 Ag 3.65, 4 Tl 3.67
4 Ag 0.5000 0.5000 0.7403  4 Er 3.07, 4 Pm 3.30

---

--- b ---
A plane-wave DFT calculation with GGA-PBE was carried out for an optimized crystal structure of PmErTlAg.

Output
volume	423.83	Å³/cell
M_tot	0.051	μB per atom

Lattice parameters (Å, degrees): 7.5115 7.5115 7.5115 90.00 90.00 90.00
Closest atoms and distances in Å follow each position.
Sites, in units of the cell vectors:
1 Pm 0.0000 0.0000 0.0000  4 Tl 3.25, 4 Ag 3.25
2 Pm 0.0000 0.5000 0.5000  4 Tl 3.25, 4 Ag 3.25
3 Pm 0.5000 0.0000 0.5000  4 Tl 3.25, 4 Ag 3.25
4 Pm 0.5000 0.5000 0.0000  4 Tl 3.25, 4 Ag 3.25
5 Er 0.0000 0.0000 0.5000  4 Tl 3.25, 4 Ag 3.25
6 Er 0.0000 0.5000 0.0000  4 Tl 3.25, 4 Ag 3.25
7 Er 0.5000 0.0000 0.0000  4 Tl 3.25, 4 Ag 3.25
8 Er 0.5000 0.5000 0.5000  4 Tl 3.25, 4 Ag 3.25
9 Tl 0.2500 0.2500 0.2500  4 Er 3.25, 4 Pm 3.25
10 Tl 0.2500 0.7500 0.7500  4 Er 3.25, 4 Pm 3.25
11 Tl 0.7500 0.2500 0.7500  4 Er 3.25, 4 Pm 3.25
12 Tl 0.7500 0.7500 0.2500  4 Er 3.25, 4 Pm 3.25
13 Ag 0.2500 0.2500 0.7500  4 Pm 3.25, 4 Er 3.25
14 Ag 0.2500 0.7500 0.2500  4 Er 3.25, 4 Pm 3.25
15 Ag 0.7500 0.2500 0.2500  4 Er 3.25, 4 Pm 3.25
16 Ag 0.7500 0.7500 0.7500  4 Pm 3.25, 4 Er 3.25

---

Relative energy table, unit kJ/mol of atoms: a 0.0; b 0.9